[1]
A geometry-optimized CsTl8Pd4 structure. Source: Alexandria via LeMat-Bulk, functional PBE.

Output
- DFT formation energy (eV/atom) = -0.054
- symmetry = I4/mmm

abc: 7.9205 7.9205 7.9205
angles: 98.33 98.33 135.26
With the nearest neighbours (Å) after each atom.
Positions (direct):
1 Cs 0.0000 0.0000 0.0000  12 Tl 3.54-3.80, 8 Pd 3.96
2 Tl 0.0000 0.3419 0.3419  4 Pd 3.14, 5 Tl 3.25-3.30
3 Tl 0.0000 0.6581 0.6581  4 Pd 3.14, 5 Tl 3.25-3.30
4 Tl 0.2765 0.5000 0.7765  4 Pd 3.01, 6 Tl 3.25-3.30
5 Tl 0.3419 0.0000 0.3419  4 Pd 3.14, 5 Tl 3.25-3.30
6 Tl 0.5000 0.2765 0.7765  4 Pd 3.01, 6 Tl 3.25-3.30
7 Tl 0.5000 0.7235 0.2235  4 Pd 3.01, 6 Tl 3.25-3.30
8 Tl 0.6581 0.0000 0.6581  4 Pd 3.14, 5 Tl 3.25-3.30
9 Tl 0.7235 0.5000 0.2235  4 Pd 3.01, 6 Tl 3.25-3.30
10 Pd 0.0000 0.0000 0.5000  8 Tl 3.01-3.14, 2 Pd 3.01
11 Pd 0.0000 0.5000 0.0000  8 Tl 3.01-3.14, 2 Pd 3.01
12 Pd 0.5000 0.0000 0.0000  8 Tl 3.01-3.14, 2 Pd 3.01
13 Pd 0.5000 0.5000 0.5000  8 Tl 3.01-3.14, 2 Pd 3.01

=====

[2]
A geometry-optimized La6Mg2FeTc structure. Source: Alexandria via LeMat-Bulk, functional PBE.

Output
- DFT formation energy (eV/atom) = -0.015
- symmetry = P1

abc: 7.6850 7.6988 7.7027
angles: 60.06 60.11 60.09
With the nearest neighbours (Å) after each atom.
Positions (direct):
1 La 0.0000 0.0000 0.0000  1 Fe 2.52
2 La 0.0006 0.0010 0.5073  1 Fe 2.52
3 La 0.0022 0.4926 0.5078  1 Tc 2.59, 1 Fe 2.89
4 La 0.5083 0.4942 0.5074  1 Tc 2.61, 1 Fe 2.86
5 La 0.5090 0.4933 0.9992  1 Tc 2.61, 1 Fe 2.87
6 La 0.5112 0.9994 0.9988  1 Fe 2.48
7 Mg 0.0059 0.4934 0.0055  12 La 3.83-3.88
8 Mg 0.5042 0.9977 0.5037  12 La 3.84-3.86
9 Fe 0.7677 0.1976 0.7712  3 La 2.48-2.52
10 Tc 0.2694 0.6999 0.2690  3 La 2.59-2.61

=====

[3]
A geometry-optimized CsKIn2Rh structure. Source: Alexandria via LeMat-Bulk, functional PBE.

Output
- DFT formation energy (eV/atom) = -0.087
- symmetry = P4/mmm

abc: 5.2777 5.2777 6.2381
angles: 90.00 90.00 90.00
With the nearest neighbours (Å) after each atom.
Positions (direct):
1 Cs 0.0000 0.0000 0.0000  4 K 3.73, 8 In 4.09
2 K 0.5000 0.5000 0.0000  2 Rh 3.12
3 In 0.0000 0.5000 0.5000  2 Rh 2.64
4 In 0.5000 0.0000 0.5000  2 Rh 2.64
5 Rh 0.5000 0.5000 0.5000  4 In 2.64

=====

[4]
A geometry-optimized BiTe3Au structure. Source: Alexandria via LeMat-Bulk, functional PBE.

Output
- energy above the lowest structure with this stoichiometry (eV/atom) = 0.000
- energy relative to the elements, uncorrected (eV/atom) = -0.0554
- symmetry = Pnma

abc: 10.3457 4.3488 13.9786
angles: 90.00 90.00 90.00
With the nearest neighbours (Å) after each atom.
Positions (direct):
1 Bi 0.0110 0.2500 0.1477  6 Te 3.01-3.36
2 Bi 0.4890 0.7500 0.6477  6 Te 3.01-3.36
3 Bi 0.5110 0.2500 0.3523  6 Te 3.01-3.36
4 Bi 0.9890 0.7500 0.8523  6 Te 3.01-3.36
5 Te 0.0060 0.7500 0.6122  3 Au 2.77-2.84
6 Te 0.1671 0.2500 0.9660  3 Bi 3.01-3.26, 2 Au 3.04
7 Te 0.2050 0.7500 0.2153  1 Au 2.78, 2 Bi 3.11
8 Te 0.2950 0.2500 0.7153  1 Au 2.78, 2 Bi 3.11
9 Te 0.3329 0.7500 0.4660  3 Bi 3.01-3.26, 2 Au 3.04
10 Te 0.4940 0.2500 0.1122  3 Au 2.77-2.84
11 Te 0.5060 0.7500 0.8878  3 Au 2.77-2.84
12 Te 0.6671 0.2500 0.5340  3 Bi 3.01-3.26, 2 Au 3.04
13 Te 0.7050 0.7500 0.2847  1 Au 2.78, 2 Bi 3.11
14 Te 0.7950 0.2500 0.7847  1 Au 2.78, 2 Bi 3.11
15 Te 0.8329 0.7500 0.0340  3 Bi 3.01-3.26, 2 Au 3.04
16 Te 0.9940 0.2500 0.3878  3 Au 2.77-2.84
17 Au 0.1569 0.2500 0.5450  6 Te 2.77-3.04
18 Au 0.3431 0.7500 0.0450  6 Te 2.77-3.04
19 Au 0.6569 0.2500 0.9550  6 Te 2.77-3.04
20 Au 0.8431 0.7500 0.4550  6 Te 2.77-3.04

=====

[5]
A geometry-optimized HfSN2 structure. Source: Alexandria via LeMat-Bulk, functional PBE.

Output
- energy relative to the elements, uncorrected (eV/atom) = 0.2779
- symmetry = I-42d

abc: 4.4400 4.4400 11.5462
angles: 90.00 90.00 90.00
With the nearest neighbours (Å) after each atom.
Positions (direct):
1 Hf 0.0000 0.0000 0.0000  4 N 2.11
2 Hf 0.0000 0.5000 0.2500  4 N 2.11
3 Hf 0.5000 0.0000 0.7500  4 N 2.11
4 Hf 0.5000 0.5000 0.5000  4 N 2.11
5 S 0.0000 0.0000 0.5000  4 N 2.15
6 S 0.0000 0.5000 0.7500  4 N 2.15
7 S 0.5000 0.0000 0.2500  4 N 2.15
8 S 0.5000 0.5000 0.0000  4 N 2.15
9 N 0.2404 0.2500 0.1250  2 Hf 2.11, 2 S 2.15
10 N 0.2500 0.7404 0.3750  2 Hf 2.11, 2 S 2.15
11 N 0.2500 0.7596 0.8750  2 Hf 2.11, 2 S 2.15
12 N 0.2596 0.2500 0.6250  2 Hf 2.11, 2 S 2.15
13 N 0.7404 0.7500 0.6250  2 Hf 2.11, 2 S 2.15
14 N 0.7500 0.2404 0.8750  2 Hf 2.11, 2 S 2.15
15 N 0.7500 0.2596 0.3750  2 Hf 2.11, 2 S 2.15
16 N 0.7596 0.7500 0.1250  2 Hf 2.11, 2 S 2.15

=====

[6]
A geometry-optimized SrAgRu2 structure. Source: Alexandria via LeMat-Bulk, functional PBE.

Output
- energy above the lowest structure with this stoichiometry (eV/atom) = 0.483
- DFT formation energy (eV/atom) = 0.736
- symmetry = C2/m

abc: 5.7162 10.0664 2.8883
angles: 90.00 116.63 90.00
With the nearest neighbours (Å) after each atom.
Positions (direct):
1 Sr 0.0000 0.0000 0.0000  4 Ag 2.86-3.02, 2 Sr 2.89, 4 Ru 2.93
2 Sr 0.5000 0.5000 0.0000  4 Ag 2.86-3.02, 2 Sr 2.89, 4 Ru 2.93
3 Ag 0.0000 0.5000 0.0000  4 Sr 2.86-3.02, 2 Ag 2.89, 4 Ru 2.93
4 Ag 0.5000 0.0000 0.0000  4 Sr 2.86-3.02, 2 Ag 2.89, 4 Ru 2.93
5 Ru 0.2500 0.2500 0.5000  6 Ru 2.86-3.02, 2 Sr 2.93, 2 Ag 2.93
6 Ru 0.2500 0.7500 0.5000  6 Ru 2.86-3.02, 2 Ag 2.93, 2 Sr 2.93
7 Ru 0.7500 0.2500 0.5000  6 Ru 2.86-3.02, 2 Sr 2.93, 2 Ag 2.93
8 Ru 0.7500 0.7500 0.5000  6 Ru 2.86-3.02, 2 Ag 2.93, 2 Sr 2.93

=====

[7]
A geometry-optimized Pm2Dy4ErTh structure. Source: Alexandria via LeMat-Bulk, functional PBE.

Output
- DFT formation energy (eV/atom) = 0.128
- symmetry = P4/mmm

abc: 5.9145 5.9145 7.3901
angles: 90.00 90.00 90.00
With the nearest neighbours (Å) after each atom.
Positions (direct):
1 Pm 0.0000 0.0000 0.0000  8 Dy 3.48, 2 Th 3.70
2 Pm 0.5000 0.5000 0.5000  8 Dy 3.49, 2 Er 3.70
3 Dy 0.0000 0.5000 0.2495  2 Er 3.48, 4 Pm 3.48-3.49, 2 Th 3.49, 2 Dy 3.69-3.70
4 Dy 0.0000 0.5000 0.7505  2 Er 3.48, 4 Pm 3.48-3.49, 2 Th 3.49, 2 Dy 3.69-3.70
5 Dy 0.5000 0.0000 0.2495  2 Er 3.48, 4 Pm 3.48-3.49, 2 Th 3.49, 2 Dy 3.69-3.70
6 Dy 0.5000 0.0000 0.7505  2 Er 3.48, 4 Pm 3.48-3.49, 2 Th 3.49, 2 Dy 3.69-3.70
7 Er 0.5000 0.5000 0.0000  8 Dy 3.48, 2 Pm 3.70
8 Th 0.0000 0.0000 0.5000  8 Dy 3.49, 2 Pm 3.70

=====

[8]
A geometry-optimized AcNd3Y3 structure. Source: Alexandria via LeMat-Bulk, functional PBE.

Output
- energy above the lowest structure with this stoichiometry (eV/atom) = 0.262
- DFT formation energy (eV/atom) = 0.289
- symmetry = R3m

abc: 6.9776 6.9776 6.9776
angles: 109.29 109.29 109.29
With the nearest neighbours (Å) after each atom.
Positions (direct):
1 Ac 0.0000 0.0000 0.0000  6 Y 3.40-3.59, 3 Nd 3.63
2 Nd 0.0482 0.4722 0.4722  6 Y 3.41-3.66, 1 Ac 3.63
3 Nd 0.4722 0.0482 0.4722  6 Y 3.41-3.66, 1 Ac 3.63
4 Nd 0.4722 0.4722 0.0482  6 Y 3.41-3.66, 1 Ac 3.63
5 Y 0.4954 0.9716 0.9716  2 Ac 3.40-3.59, 6 Nd 3.41-3.66
6 Y 0.9716 0.4954 0.9716  2 Ac 3.40-3.59, 6 Nd 3.41-3.66
7 Y 0.9716 0.9716 0.4954  2 Ac 3.40-3.59, 6 Nd 3.41-3.66

=====

[9]
A geometry-optimized CdCu2Re structure. Source: Alexandria via LeMat-Bulk, functional PBE.

Output
- DFT formation energy (eV/atom) = 0.740
- symmetry = F-43m

abc: 6.2402 6.2402 6.2402
angles: 90.00 90.00 90.00
With the nearest neighbours (Å) after each atom.
Positions (direct):
1 Cd 0.0000 0.0000 0.0000  4 Cu 2.70, 4 Re 2.70
2 Cd 0.0000 0.5000 0.5000  4 Cu 2.70, 4 Re 2.70
3 Cd 0.5000 0.0000 0.5000  4 Cu 2.70, 4 Re 2.70
4 Cd 0.5000 0.5000 0.0000  4 Cu 2.70, 4 Re 2.70
5 Cu 0.0000 0.0000 0.5000  4 Re 2.70, 4 Cu 2.70
6 Cu 0.0000 0.5000 0.0000  4 Re 2.70, 4 Cu 2.70
7 Cu 0.2500 0.2500 0.7500  4 Cd 2.70, 4 Cu 2.70
8 Cu 0.2500 0.7500 0.2500  4 Cd 2.70, 4 Cu 2.70
9 Cu 0.5000 0.0000 0.0000  4 Re 2.70, 4 Cu 2.70
10 Cu 0.5000 0.5000 0.5000  4 Re 2.70, 4 Cu 2.70
11 Cu 0.7500 0.2500 0.2500  4 Cd 2.70, 4 Cu 2.70
12 Cu 0.7500 0.7500 0.7500  4 Cd 2.70, 4 Cu 2.70
13 Re 0.2500 0.2500 0.2500  4 Cd 2.70, 4 Cu 2.70
14 Re 0.2500 0.7500 0.7500  4 Cd 2.70, 4 Cu 2.70
15 Re 0.7500 0.2500 0.7500  4 Cd 2.70, 4 Cu 2.70
16 Re 0.7500 0.7500 0.2500  4 Cd 2.70, 4 Cu 2.70

=====

[10]
A geometry-optimized Y5In2RuRh2 structure. Source: Alexandria via LeMat-Bulk, functional PBE.

Output
- DFT formation energy (eV/atom) = -0.544
- symmetry = P4/mbm

abc: 11.6850 11.6850 3.5137
angles: 90.00 90.00 90.00
With the nearest neighbours (Å) after each atom.
Positions (direct):
1 Y 0.0000 0.5000 0.0000  4 Rh 2.86
2 Y 0.0651 0.1943 0.0000  2 Rh 2.78, 2 Ru 2.97
3 Y 0.1943 0.9349 0.0000  2 Rh 2.78, 2 Ru 2.97
4 Y 0.3057 0.4349 0.0000  2 Rh 2.78, 2 Ru 2.97
5 Y 0.4349 0.6943 0.0000  2 Rh 2.78, 2 Ru 2.97
6 Y 0.5000 0.0000 0.0000  4 Rh 2.86
7 Y 0.5651 0.3057 0.0000  2 Rh 2.78, 2 Ru 2.97
8 Y 0.6943 0.5651 0.0000  2 Rh 2.78, 2 Ru 2.97
9 Y 0.8057 0.0651 0.0000  2 Rh 2.78, 2 Ru 2.97
10 Y 0.9349 0.8057 0.0000  2 Rh 2.78, 2 Ru 2.97
11 In 0.1790 0.6790 0.5000  1 Rh 3.05
12 In 0.3210 0.1790 0.5000  1 Rh 3.05
13 In 0.6790 0.8210 0.5000  1 Rh 3.05
14 In 0.8210 0.3210 0.5000  1 Rh 3.05
15 Ru 0.0000 0.0000 0.5000  8 Y 2.97
16 Ru 0.5000 0.5000 0.5000  8 Y 2.97
17 Rh 0.1362 0.3638 0.5000  6 Y 2.78-2.86, 1 In 3.05
18 Rh 0.3638 0.8638 0.5000  6 Y 2.78-2.86, 1 In 3.05
19 Rh 0.6362 0.1362 0.5000  6 Y 2.78-2.86, 1 In 3.05
20 Rh 0.8638 0.6362 0.5000  6 Y 2.78-2.86, 1 In 3.05

=====

[11]
A geometry-optimized PuTlBi2 structure. Source: Alexandria via LeMat-Bulk, functional PBE.

Output
- energy above the lowest structure with this stoichiometry (eV/atom) = 0.022
- DFT formation energy (eV/atom) = -0.196
- symmetry = P4/mmm

abc: 4.2581 4.2581 6.7349
angles: 90.00 90.00 90.00
With the nearest neighbours (Å) after each atom.
Positions (direct):
1 Pu 0.0000 0.0000 0.0000  2 Tl 3.37, 8 Bi 3.39
2 Tl 0.0000 0.0000 0.5000  2 Pu 3.37, 8 Bi 3.51
3 Bi 0.5000 0.5000 0.2322  1 Bi 3.13, 4 Pu 3.39
4 Bi 0.5000 0.5000 0.7678  1 Bi 3.13, 4 Pu 3.39

=====

[12]
A geometry-optimized SiTe2Cl structure. Source: Alexandria via LeMat-Bulk, functional PBE.

Output
- energy above the lowest structure with this stoichiometry (eV/atom) = 0.472
- energy relative to the elements, uncorrected (eV/atom) = 0.3856
- symmetry = C2/m

abc: 5.9390 10.5870 3.1904
angles: 90.00 100.38 90.00
With the nearest neighbours (Å) after each atom.
Positions (direct):
1 Si 0.0000 0.0000 0.0000  2 Cl 2.97, 2 Si 3.19, 4 Te 3.30
2 Si 0.5000 0.5000 0.0000  2 Cl 2.97, 2 Si 3.19, 4 Te 3.30
3 Te 0.2500 0.2500 0.5000  4 Te 2.97-3.19, 2 Cl 3.30, 2 Si 3.30
4 Te 0.2500 0.7500 0.5000  4 Te 2.97-3.19, 2 Cl 3.30, 2 Si 3.30
5 Te 0.7500 0.2500 0.5000  4 Te 2.97-3.19, 2 Cl 3.30, 2 Si 3.30
6 Te 0.7500 0.7500 0.5000  4 Te 2.97-3.19, 2 Si 3.30, 2 Cl 3.30
7 Cl 0.0000 0.5000 0.0000  2 Si 2.97, 2 Cl 3.19, 4 Te 3.30
8 Cl 0.5000 0.0000 0.0000  2 Si 2.97, 2 Cl 3.19, 4 Te 3.30